[1]
Compound: AlAuC
Source: the Alexandria database
Functional: PBE-GGA
Structure: optimized geometry

a = 2.6594 Å, b = 4.1136 Å, c = 9.1940 Å
α = 102.74°, β = 97.47°, γ = 90.12°
Closest atoms and distances in Å follow each position.
Space group P-1 (No. 2)
One atom of each set of equivalent atoms:
Al 0.1307 0.3665 0.2367 x2  1 C 2.04
Au 0.4199 0.1901 0.8785 x2  4 Al 2.65-2.66, 2 Au 2.66
C 0.2347 0.4829 0.4662 x2  2 C 1.46

Values from the calculation:
Its total energy is -5.28 eV/atom. Its calculated volume is 16.20 Å³ per atom.

---

[2]
Compound: Al3AuC
Source: the Alexandria database
Functional: PBE-GGA
Structure: optimized geometry

a = 4.7957 Å, b = 4.7957 Å, c = 4.7957 Å
α = 90.00°, β = 90.00°, γ = 90.00°
Closest atoms and distances in Å follow each position.
Space group Pm-3m (No. 221)
One atom of each set of equivalent atoms:
Al 0.0000 0.0000 0.5000 x3  2 Au 2.40
Au 0.0000 0.0000 0.0000 x1  6 Al 2.40
C 0.5000 0.5000 0.5000 x1  12 Al 3.39

Values from the calculation:
Its total energy is -3.38 eV/atom. Its calculated volume is 22.06 Å³ per atom.